(1)
# NaMgNpI6 | Alexandria | PBE | optimized geometry
data_NaMgNpI6
_chemical_formula_sum 'Na2 Mg2 Np2 I12'
_symmetry_space_group_name_H-M 'P 1'
_symmetry_Int_Tables_number 1
_symmetry_space_group_name_Hall 'P 1'
_cell_length_a 7.731
_cell_length_b 7.731
_cell_length_c 14.471
_cell_angle_alpha 90.00
_cell_angle_beta 90.00
_cell_angle_gamma 120.00
loop_
_atom_site_label
_atom_site_type_symbol
_atom_site_fract_x
_atom_site_fract_y
_atom_site_fract_z
Na1 Na 0.000 0.000 0.500
Na2 Na 0.000 0.000 0.000
I1 I 0.984 0.345 0.131
I2 I 0.016 0.655 0.869
I3 I 0.345 0.984 0.631
I4 I 0.638 0.984 0.869
I5 I 0.345 0.362 0.869
I6 I 0.655 0.016 0.369
I7 I 0.984 0.638 0.369
I8 I 0.362 0.016 0.131
I9 I 0.362 0.345 0.369
I10 I 0.655 0.638 0.131
I11 I 0.016 0.362 0.631
I12 I 0.638 0.655 0.631
Mg1 Mg 0.667 0.333 0.250
Mg2 Mg 0.333 0.667 0.750
Np1 Np 0.333 0.667 0.250
Np2 Np 0.667 0.333 0.750
# Total moment   8.0 Bohr magnetons per cell
# Space group   P-31c
# ΔE_f (raw)   -0.976 eV/atom

=====

(2)
# NaMgIO4 | Alexandria | PBE | optimized geometry
data_NaMgIO4
_chemical_formula_sum 'Na2 Mg2 I2 O8'
_symmetry_space_group_name_H-M 'P 1'
_symmetry_Int_Tables_number 1
_symmetry_space_group_name_Hall 'P 1'
_cell_length_a 6.749
_cell_length_b 6.301
_cell_length_c 6.301
_cell_angle_alpha 59.47
_cell_angle_beta 57.62
_cell_angle_gamma 57.62
loop_
_atom_site_label
_atom_site_type_symbol
_atom_site_fract_x
_atom_site_fract_y
_atom_site_fract_z
O1 O 0.814 0.733 0.233
O2 O 0.723 0.759 0.796
O3 O 0.780 0.267 0.767
O4 O 0.277 0.241 0.204
O5 O 0.723 0.296 0.259
O6 O 0.220 0.733 0.233
O7 O 0.186 0.267 0.767
O8 O 0.277 0.704 0.741
Mg1 Mg 0.000 0.000 0.000
Mg2 Mg 0.000 0.500 0.500
Na1 Na 0.000 0.000 0.500
Na2 Na 0.500 0.000 0.500
I1 I 0.586 0.664 0.164
I2 I 0.414 0.336 0.836
# Total moment   0.0 Bohr magnetons per cell
# Space group   Imma
# ΔE_f (raw)   -1.240 eV/atom

=====

(3)
# Na2MgIO4 | Alexandria | PBE | optimized geometry
data_Na2MgIO4
_chemical_formula_sum 'Na2 Mg1 I1 O4'
_symmetry_space_group_name_H-M 'P 1'
_symmetry_Int_Tables_number 1
_symmetry_space_group_name_Hall 'P 1'
_cell_length_a 5.339
_cell_length_b 5.339
_cell_length_c 5.339
_cell_angle_alpha 104.84
_cell_angle_beta 111.84
_cell_angle_gamma 111.84
loop_
_atom_site_label
_atom_site_type_symbol
_atom_site_fract_x
_atom_site_fract_y
_atom_site_fract_z
Na1 Na 0.500 0.750 0.250
Na2 Na 0.000 0.000 0.000
O1 O 0.538 0.256 0.391
O2 O 0.462 0.853 0.718
O3 O 0.135 0.282 0.744
O4 O 0.865 0.609 0.147
I1 I 0.000 0.500 0.500
Mg1 Mg 0.500 0.250 0.750
# Total moment   1.0 Bohr magnetons per cell
# Space group   I-4
# ΔE_f (raw)   -1.263 eV/atom

=====

(4)
# Na3Mg2IO6 | Alexandria | PBE | optimized geometry
data_Na3Mg2IO6
_chemical_formula_sum 'Na3 Mg2 I1 O6'
_symmetry_space_group_name_H-M 'P 1'
_symmetry_Int_Tables_number 1
_symmetry_space_group_name_Hall 'P 1'
_cell_length_a 5.498
_cell_length_b 5.498
_cell_length_c 5.782
_cell_angle_alpha 99.10
_cell_angle_beta 99.10
_cell_angle_gamma 120.01
loop_
_atom_site_label
_atom_site_type_symbol
_atom_site_fract_x
_atom_site_fract_y
_atom_site_fract_z
O1 O 0.261 0.261 0.793
O2 O 0.069 0.399 0.207
O3 O 0.739 0.739 0.207
O4 O 0.601 0.931 0.793
O5 O 0.931 0.601 0.793
O6 O 0.399 0.069 0.207
Na1 Na 0.171 0.829 0.500
Na2 Na 0.829 0.171 0.500
Na3 Na 0.500 0.500 0.500
I1 I 0.000 0.000 0.000
Mg1 Mg 0.666 0.334 0.000
Mg2 Mg 0.334 0.666 0.000
# Total moment   0.0 Bohr magnetons per cell
# Space group   C2/m
# ΔE_f (raw)   -1.635 eV/atom

=====

(5)
# Na2MgPbI6 | Alexandria | PBE | optimized geometry
data_Na2MgPbI6
_chemical_formula_sum 'Na2 Mg1 Pb1 I6'
_symmetry_space_group_name_H-M 'P 1'
_symmetry_Int_Tables_number 1
_symmetry_space_group_name_Hall 'P 1'
_cell_length_a 6.939
_cell_length_b 8.406
_cell_length_c 8.406
_cell_angle_alpha 90.00
_cell_angle_beta 90.00
_cell_angle_gamma 90.00
loop_
_atom_site_label
_atom_site_type_symbol
_atom_site_fract_x
_atom_site_fract_y
_atom_site_fract_z
Na1 Na 0.921 0.500 0.000
Na2 Na 0.921 0.000 0.500
Mg1 Mg 0.609 0.000 0.000
I1 I 0.744 0.237 0.763
I2 I 0.184 0.500 0.500
I3 I 0.744 0.237 0.237
I4 I 0.744 0.763 0.763
I5 I 0.744 0.763 0.237
I6 I 0.225 0.000 0.000
Pb1 Pb 0.612 0.500 0.500
# Total moment   0.0 Bohr magnetons per cell
# Space group   P4mm
# ΔE_f (raw)   -0.886 eV/atom

=====

(6)
# NaMgPd2I | Alexandria | PBE | optimized geometry
data_NaMgPd2I
_chemical_formula_sum 'Na1 Mg1 Pd2 I1'
_symmetry_space_group_name_H-M 'P 1'
_symmetry_Int_Tables_number 1
_symmetry_space_group_name_Hall 'P 1'
_cell_length_a 4.877
_cell_length_b 5.375
_cell_length_c 4.877
_cell_angle_alpha 90.00
_cell_angle_beta 90.00
_cell_angle_gamma 90.00
loop_
_atom_site_label
_atom_site_type_symbol
_atom_site_fract_x
_atom_site_fract_y
_atom_site_fract_z
Mg1 Mg 0.500 0.500 0.500
Pd1 Pd 0.500 0.000 0.000
Pd2 Pd 0.000 0.000 0.500
Na1 Na 0.000 0.000 0.000
I1 I 0.000 0.500 0.000
# Total moment   0.0 Bohr magnetons per cell
# Space group   P4/mmm
# ΔE_f (raw)   0.520 eV/atom

=====

(7)
# Rb2NaMgI5 | Alexandria | PBE | optimized geometry
data_Rb2NaMgI5
_chemical_formula_sum 'Rb4 Na2 Mg2 I10'
_symmetry_space_group_name_H-M 'P 1'
_symmetry_Int_Tables_number 1
_symmetry_space_group_name_Hall 'P 1'
_cell_length_a 4.585
_cell_length_b 10.684
_cell_length_c 16.550
_cell_angle_alpha 90.00
_cell_angle_beta 90.00
_cell_angle_gamma 102.39
loop_
_atom_site_label
_atom_site_type_symbol
_atom_site_fract_x
_atom_site_fract_y
_atom_site_fract_z
I1 I 0.263 0.525 0.652
I2 I 0.360 0.719 0.993
I3 I 0.737 0.475 0.152
I4 I 0.503 0.005 0.282
I5 I 0.640 0.281 0.493
I6 I 0.497 0.995 0.782
I7 I 0.917 0.833 0.563
I8 I 0.083 0.167 0.063
I9 I 0.295 0.591 0.409
I10 I 0.705 0.409 0.909
Mg1 Mg 0.777 0.554 0.528
Mg2 Mg 0.223 0.446 0.028
Rb1 Rb 0.140 0.280 0.297
Rb2 Rb 0.087 0.173 0.655
Rb3 Rb 0.860 0.720 0.797
Rb4 Rb 0.913 0.827 0.155
Na1 Na 0.558 0.116 0.946
Na2 Na 0.442 0.884 0.446
# Total moment   0.0 Bohr magnetons per cell
# Space group   Cmc2_1
# ΔE_f (raw)   -1.254 eV/atom

=====

(8)
# Na2MgReI | Alexandria | PBE | optimized geometry
data_Na2MgReI
_chemical_formula_sum 'Na2 Mg1 Re1 I1'
_symmetry_space_group_name_H-M 'P 1'
_symmetry_Int_Tables_number 1
_symmetry_space_group_name_Hall 'P 1'
_cell_length_a 5.902
_cell_length_b 5.422
_cell_length_c 5.902
_cell_angle_alpha 90.00
_cell_angle_beta 90.00
_cell_angle_gamma 90.00
loop_
_atom_site_label
_atom_site_type_symbol
_atom_site_fract_x
_atom_site_fract_y
_atom_site_fract_z
Na1 Na 0.000 0.000 0.500
Na2 Na 0.500 0.000 0.000
Re1 Re 0.000 0.000 0.000
Mg1 Mg 0.000 0.500 0.000
I1 I 0.500 0.500 0.500
# Total moment   3.4 Bohr magnetons per cell
# Space group   P4/mmm
# ΔE_f (raw)   0.968 eV/atom

=====

Number 1: DFT total energy -67.9 eV per cell. Number 2: DFT total energy -66.0 eV per cell. Number 3: DFT total energy -35.7 eV per cell. Number 4: DFT total energy -58.1 eV per cell. Number 5: DFT total energy -26.1 eV per cell. Number 6: DFT total energy -12.2 eV per cell. Number 7: DFT total energy -47.8 eV per cell. Number 8: DFT total energy -13.4 eV per cell.